No. 1
YAlCu2, relaxed, DFT PBE-GGA; VASP energy = -4.795 eV/atom; SG = No. 6
1.0
3.6215 0.0000 0.0000
0.0000 4.1246 0.0000
-1.7753 0.0000 4.8630
Y Al Cu
1 1 2
Direct
0.0000 0.0000 0.0000
0.7128 0.5000 0.4227
0.2820 0.0000 0.5506
0.4122 0.5000 0.8216


No. 2
YAl2Cu2, relaxed, DFT PBE-GGA; VASP energy = -4.600 eV/atom; SG = No. 127
1.0
7.7189 0.0000 0.0000
0.0000 7.7189 0.0000
0.0000 0.0000 2.7498
Y Al Cu
2 4 4
Direct
0.0000 0.0000 0.0000
0.5000 0.5000 0.0000
0.1284 0.3716 0.0000
0.3716 0.8716 0.0000
0.6284 0.1284 0.0000
0.8716 0.6284 0.0000
0.1646 0.6646 0.5000
0.3354 0.1646 0.5000
0.6646 0.8354 0.5000
0.8354 0.3354 0.5000


No. 3
YAl2Cu4, relaxed, DFT PBE-GGA; VASP energy = -4.676 eV/atom; SG = No. 139
1.0
-3.2102 3.2102 2.5693
3.2102 -3.2102 2.5693
3.2102 3.2102 -2.5693
Y Al Cu
1 2 4
Direct
0.0000 0.0000 0.0000
0.2500 0.7500 0.5000
0.7500 0.2500 0.5000
0.3092 0.3092 0.6184
0.3092 0.6908 0.0000
0.6908 0.3092 0.0000
0.6908 0.6908 0.3816


No. 4
Y2Al3Cu4, relaxed, DFT PBE-GGA; VASP energy = -4.854 eV/atom; SG = No. 64
1.0
2.7508 -7.6427 0.0000
2.7508 7.6427 0.0000
0.0000 0.0000 7.3537
Y Al Cu
4 6 8
Direct
0.1031 0.8969 0.9033
0.3969 0.6031 0.4033
0.6031 0.3969 0.5967
0.8969 0.1031 0.0967
0.0000 0.0000 0.5000
0.0171 0.4829 0.7500
0.4829 0.0171 0.2500
0.5000 0.5000 0.0000
0.5171 0.9829 0.7500
0.9829 0.5171 0.2500
0.1738 0.8262 0.5134
0.1823 0.3177 0.7500
0.3177 0.1823 0.2500
0.3262 0.6738 0.0134
0.6738 0.3262 0.9866
0.6823 0.8177 0.7500
0.8177 0.6823 0.2500
0.8262 0.1738 0.4866


No. 5
Y8Al2Cu, relaxed, DFT PBE-GGA; VASP energy = -5.924 eV/atom; SG = No. 12
1.0
9.2051 -2.5267 0.0000
9.2051 2.5267 0.0000
-1.5217 0.0000 6.4995
Y Al Cu
8 2 1
Direct
0.0211 0.0211 0.2765
0.2080 0.2080 0.8033
0.3473 0.3473 0.5283
0.4067 0.4067 0.0404
0.5933 0.5933 0.9596
0.6527 0.6527 0.4717
0.7920 0.7920 0.1967
0.9789 0.9789 0.7235
0.1880 0.1880 0.2489
0.8120 0.8120 0.7511
0.5000 0.5000 0.5000


No. 6
Y3Al4Cu2, relaxed, DFT PBE-GGA; VASP energy = -5.183 eV/atom; SG = No. 12
1.0
5.2735 -2.2273 0.0000
5.2735 2.2273 0.0000
-3.2744 0.0000 7.8208
Y Al Cu
3 4 2
Direct
0.0000 0.0000 0.0000
0.3252 0.3252 0.3482
0.6748 0.6748 0.6518
0.0311 0.0311 0.3629
0.2699 0.2699 0.9260
0.7301 0.7301 0.0740
0.9689 0.9689 0.6371
0.4051 0.4051 0.7339
0.5949 0.5949 0.2661


no.,size of the total moment (μB/cell),energy of formation (eV/atom)
1,0.00,-0.195
2,0.00,-0.172
3,0.00,-0.342
4,0.00,-0.349
5,0.00,-0.170
6,0.00,-0.455